{
  "formula": "RePdI2O",
  "functional": "GGA-PBE",
  "state": "relaxed",
  "lattice": [[5.524, 0.000, 0.000], [0.000, 5.524, 0.000], [0.000, 0.000, 3.736]],
  "species": ["Re", "Pd", "I", "I", "O"],
  "fractional_positions": [[0.000, 0.000, 0.000], [0.500, 0.500, 0.500], [0.000, 0.500, 0.000], [0.500, 0.000, 0.000], [0.000, 0.000, 0.500]],
  "spacegroup": "P4/mmm (123)",
  "formation_energy_uncorrected_ev_per_atom": 0.11,
  "polymorph_energy_mev_per_atom": 0,
  "crystal_system": "tetragonal"
}

{
  "formula": "RePdIO2",
  "functional": "GGA-PBE",
  "state": "relaxed",
  "lattice": [[3.952, 0.000, 0.000], [0.000, 3.952, 0.000], [0.000, 0.000, 6.233]],
  "species": ["Re", "Pd", "I", "O", "O"],
  "fractional_positions": [[0.000, 0.000, 0.000], [0.500, 0.500, 0.500], [0.500, 0.500, 0.000], [0.000, 0.500, 0.500], [0.500, 0.000, 0.500]],
  "spacegroup": "P4/mmm (123)",
  "formation_energy_uncorrected_ev_per_atom": 1.08,
  "polymorph_energy_mev_per_atom": 1679,
  "crystal_system": "tetragonal"
}

{
  "formula": "RePdI2O",
  "functional": "GGA-PBE",
  "state": "relaxed",
  "lattice": [[5.634, 0.000, 0.000], [0.000, 5.634, 0.000], [0.000, 0.000, 3.843]],
  "species": ["Re", "Pd", "I", "I", "O"],
  "fractional_positions": [[0.000, 0.000, 0.000], [0.500, 0.500, 0.500], [0.000, 0.500, 0.500], [0.500, 0.000, 0.500], [0.500, 0.500, 0.000]],
  "spacegroup": "P4/mmm (123)",
  "formation_energy_uncorrected_ev_per_atom": 1.08,
  "polymorph_energy_mev_per_atom": 968,
  "crystal_system": "tetragonal"
}